(1)
Material: CdBPdO4
Method: DFT, PBE
State: relaxed

Properties
Formation energy (no corrections), eV/atom: -1.0789
Volume, Å³ per atom: 11.11
Total energy, eV per cell: -160.7

a = 5.6918 Å, b = 8.6122 Å, c = 6.3441 Å
α = 90.00°, β = 90.00°, γ = 90.00°
With the nearest neighbours (Å) after each atom.
Space group Cmcm (No. 63)
Unique sites:
Cd 0.0000 0.0000 0.0000 [4 per cell]  6 O 2.30-2.37
B 0.0000 0.3713 0.2500 [4 per cell]  4 O 1.46-1.51
Pd 0.0000 0.3101 0.7500 [4 per cell]  4 O 2.01-2.17
O 0.0000 0.2716 0.0630 [8 per cell]  1 B 1.46
O 0.2087 0.4787 0.2500 [8 per cell]  1 B 1.51

=====

(2)
Material: LiLu2Bi
Method: DFT, PBE
State: relaxed

Properties
Volume, Å³ per atom: 29.13
Polymorph energy (0 for the lowest one), meV per atom: 458.5
Total energy, eV per cell: -42.5
Energy of formation, eV per atom: 0.1696

a = 3.4319 Å, b = 3.4319 Å, c = 34.2644 Å
α = 90.00°, β = 90.00°, γ = 120.00°
With the nearest neighbours (Å) after each atom.
Space group R-3m (No. 166, hexagonal axes)
Unique sites:
Li 0.0000 0.0000 0.0000 [3 per cell]  6 Lu 3.27, 6 Li 3.43
Lu 0.0000 0.0000 0.4093 [6 per cell]  1 Bi 3.11, 3 Li 3.27, 6 Lu 3.43
Bi 0.0000 0.0000 0.5000 [3 per cell]  2 Lu 3.11, 6 Bi 3.43

=====

(3)
Material: BeCd2Br
Method: DFT, PBE
State: relaxed

Properties
Formation energy (no corrections), eV/atom: 0.4105
Volume, Å³ per atom: 22.56
Polymorph energy (0 for the lowest one), meV per atom: 337.5
Total energy, eV per cell: -11.2

a = 5.5897 Å, b = 8.4875 Å, c = 3.8047 Å
α = 90.00°, β = 90.00°, γ = 90.00°
With the nearest neighbours (Å) after each atom.
Space group Cmmm (No. 65)
Unique sites:
Be 0.0000 0.0000 0.0000 [2 per cell]  2 Br 2.79
Cd 0.2500 0.2500 0.5000 [4 per cell]  2 Cd 2.79
Br 0.0000 0.5000 0.0000 [2 per cell]  2 Be 2.79

=====

- The lowest volume belongs to which entry?
  CdBPdO4

=====

Copy entry 2 word for word.
Material: LiLu2Bi
Method: DFT, PBE
State: relaxed

Properties
Volume, Å³ per atom: 29.13
Polymorph energy (0 for the lowest one), meV per atom: 458.5
Total energy, eV per cell: -42.5
Energy of formation, eV per atom: 0.1696

a = 3.4319 Å, b = 3.4319 Å, c = 34.2644 Å
α = 90.00°, β = 90.00°, γ = 120.00°
With the nearest neighbours (Å) after each atom.
Space group R-3m (No. 166, hexagonal axes)
Unique sites:
Li 0.0000 0.0000 0.0000 [3 per cell]  6 Lu 3.27, 6 Li 3.43
Lu 0.0000 0.0000 0.4093 [6 per cell]  1 Bi 3.11, 3 Li 3.27, 6 Lu 3.43
Bi 0.0000 0.0000 0.5000 [3 per cell]  2 Lu 3.11, 6 Bi 3.43